Computed, not measured: a relaxed structure of Pr4MnAl3O12 at the PBE with a Hubbard U level of DFT.

Summary:
- Total energy: -7.79 eV per atom
- Magnetic moment: 0.102 μB/atom

Cell: 6.591 6.591 6.591 Å, 109.47 109.47 109.47°
Atoms (fractional coordinates):
Pr1 0.000 0.000 0.500
Pr2 0.000 0.500 0.000
Pr3 0.500 0.000 0.000
Pr4 0.500 0.500 0.500
Mn1 0.000 0.000 0.000
Al1 0.000 0.500 0.500
Al2 0.500 0.000 0.500
Al3 0.500 0.500 0.000
O1 0.000 0.254 0.254
O2 0.000 0.746 0.746
O3 0.250 0.500 0.750
O4 0.250 0.750 0.500
O5 0.254 0.000 0.254
O6 0.254 0.254 0.000
O7 0.500 0.250 0.750
O8 0.500 0.750 0.250
O9 0.746 0.000 0.746
O10 0.746 0.746 0.000
O11 0.750 0.250 0.500
O12 0.750 0.500 0.250